No. 1
A plane-wave DFT calculation with PBE was carried out for a geometry-optimized RbAlAg2F6 structure.

Unit cell a=6.032 b=6.032 c=6.032 alpha=61.85 beta=61.85 gamma=61.85
Fractional positions:
Rb 0.000 0.000 0.000
Al 0.500 0.500 0.500
Ag 0.271 0.271 0.271
Ag 0.729 0.729 0.729
F 0.178 0.660 0.441
F 0.340 0.559 0.822
F 0.441 0.178 0.660
F 0.559 0.822 0.340
F 0.660 0.441 0.178
F 0.822 0.340 0.559

## Properties
ρ ... 4.5 g/cm3
Total energy ... -4.55 eV per atom

---

No. 2
A plane-wave DFT calculation with PBE was carried out for a geometry-optimized AlAgRhF2 structure.

Unit cell a=3.677 b=3.677 c=5.716 alpha=90.00 beta=90.00 gamma=90.00
Fractional positions:
Al 0.000 0.000 0.000
Ag 0.000 0.000 0.500
Rh 0.500 0.500 0.500
F 0.000 0.500 0.000
F 0.500 0.000 0.000

## Properties
ρ ... 5.9 g/cm3
Total energy ... -4.59 eV per atom

---

No. 3
A plane-wave DFT calculation with PBE was carried out for a geometry-optimized AlAgRh2F structure.

Unit cell a=5.002 b=5.002 c=4.734 alpha=90.00 beta=90.00 gamma=90.00
Fractional positions:
Al 0.000 0.000 0.000
Ag 0.000 0.000 0.500
Rh 0.000 0.500 0.500
Rh 0.500 0.000 0.500
F 0.500 0.500 0.000

## Properties
ρ ... 5.0 g/cm3
Total energy ... -3.51 eV per atom

---

No. 4
A plane-wave DFT calculation with PBE was carried out for a geometry-optimized AlAgRh2F structure.

Unit cell a=4.983 b=4.983 c=3.874 alpha=90.00 beta=90.00 gamma=90.00
Fractional positions:
Al 0.000 0.000 0.000
Ag 0.500 0.500 0.500
Rh 0.000 0.500 0.500
Rh 0.500 0.000 0.500
F 0.500 0.500 0.000

## Properties
ρ ... 6.2 g/cm3
Total energy ... -3.87 eV per atom

---

No. 5
A plane-wave DFT calculation with PBE was carried out for a geometry-optimized Al2AgSeF structure.

Unit cell a=5.078 b=5.078 c=4.894 alpha=90.00 beta=90.00 gamma=90.00
Fractional positions:
Al 0.000 0.500 0.000
Al 0.500 0.000 0.000
Ag 0.000 0.000 0.000
Se 0.000 0.000 0.500
F 0.500 0.500 0.500

## Properties
ρ ... 3.4 g/cm3
Total energy ... -3.01 eV per atom

---

No. 6
A plane-wave DFT calculation with PBE was carried out for a geometry-optimized AlAgSnF2 structure.

Unit cell a=4.322 b=4.322 c=5.651 alpha=90.00 beta=90.00 gamma=90.00
Fractional positions:
Al 0.000 0.000 0.000
Ag 0.500 0.500 0.500
Sn 0.500 0.500 0.000
F 0.000 0.500 0.500
F 0.500 0.000 0.500

## Properties
ρ ... 4.6 g/cm3
Total energy ... -3.41 eV per atom

---

What are the raw formation energy values for these records? In order: -55.10; -24.38; 26.01; 17.67; 3.07; -12.48 kcal/mol of atoms.